Entry 1:
KMoPt2 (SCAN, PBEsol geometry); calculated formation energy = 0.34 eV/atom; symmetry = P4/mmm, No. 123; N(E_F) = 0.623 states/eV/atom; total energy = -182.230 eV per cell; E above lowest polymorph = 0.00 kcal/mol of atoms
1.0
2.7053 0.0000 0.0000
0.0000 5.0603 0.0000
0.0000 0.0000 5.0603
Pt K Mo
2 1 1
direct
0.0000 0.0000 0.5000 Pt
0.0000 0.5000 0.0000 Pt
0.5000 0.5000 0.5000 K
0.5000 0.0000 0.0000 Mo

Entry 2:
K2MoPt (SCAN, PBEsol geometry); calculated formation energy = 0.86 eV/atom; symmetry = Cmmm, No. 65; N(E_F) = 0.641 states/eV/atom; total energy = -118.312 eV per cell; E above lowest polymorph = 9.63 kcal/mol of atoms
1.0
2.7831 -0.0201 0.0000
-1.0880 2.5617 0.0000
0.0000 0.0000 11.4532
Mo Pt K
1 1 2
direct
0.5000 0.5000 0.5000 Mo
0.5000 0.5000 0.0000 Pt
0.0000 0.0000 0.2305 K
0.0000 0.0000 0.7695 K

Entry 3:
KRbTa2Mo (SCAN, PBEsol geometry); calculated formation energy = 1.40 eV/atom; symmetry = P4/mmm, No. 123; N(E_F) = 0.835 states/eV/atom; total energy = -190.142 eV per cell
1.0
4.8157 0.0000 0.0000
0.0000 4.8157 0.0000
0.0000 0.0000 6.5538
Rb Ta Mo K
1 2 1 1
direct
0.5000 0.5000 0.5000 Rb
0.0000 0.5000 0.0000 Ta
0.5000 0.0000 0.0000 Ta
0.0000 0.0000 0.0000 Mo
0.0000 0.0000 0.5000 K

Entry 4:
KRe2Mo (SCAN, PBEsol geometry); calculated formation energy = 1.48 eV/atom; symmetry = C2/m, No. 12; N(E_F) = 0.941 states/eV/atom; total energy = -179.491 eV per cell; E above lowest polymorph = 15.80 kcal/mol of atoms
1.0
-1.3060 2.2118 -0.4160
-3.5381 -2.6601 3.0523
4.3969 2.1338 2.6353
Re Mo K
2 1 1
direct
0.5000 0.5000 0.5000 Re
0.0000 0.0000 0.5000 Re
0.0000 0.5000 0.0000 Mo
0.5000 0.0000 0.0000 K

Entry 5:
K3ReMo (SCAN, PBEsol geometry); calculated formation energy = 2.29 eV/atom; symmetry = Pm-3m, No. 221; N(E_F) = 2.053 states/eV/atom; total energy = -119.541 eV per cell
1.0
6.2032 0.0000 0.0000
0.0000 6.2032 0.0000
0.0000 0.0000 6.2032
K Re Mo
3 1 1
direct
0.0000 0.0000 0.5000 K
0.0000 0.5000 0.0000 K
0.5000 0.0000 0.0000 K
0.0000 0.0000 0.0000 Re
0.5000 0.5000 0.5000 Mo

Entry 6:
KReMo2 (SCAN, PBEsol geometry); calculated formation energy = 0.79 eV/atom; symmetry = Cmmm, No. 65; N(E_F) = 0.888 states/eV/atom; total energy = -146.033 eV per cell; E above lowest polymorph = 1.49 kcal/mol of atoms
1.0
2.7318 -0.0081 0.0000
-0.9491 2.5617 0.0000
0.0000 0.0000 10.4204
K Mo Re
1 2 1
direct
0.5000 0.5000 0.0000 K
0.0000 0.0000 0.7036 Mo
0.0000 0.0000 0.2964 Mo
0.5000 0.5000 0.5000 Re

Entry 7:
KReMo2 (SCAN, PBEsol geometry); calculated formation energy = 0.73 eV/atom; symmetry = Cmm2, No. 35; N(E_F) = 0.698 states/eV/atom; total energy = -146.292 eV per cell; E above lowest polymorph = 0.00 kcal/mol of atoms
1.0
-0.9062 -0.0526 2.5669
-1.5949 -1.5316 -1.5886
5.9485 -8.1983 1.9321
Re K Mo
1 1 2
direct
0.0000 0.0000 0.5412 Re
0.5000 0.5000 0.2583 K
0.0000 0.0000 0.9536 Mo
0.5000 0.5000 0.7469 Mo

Entry 8:
KRe2Mo (SCAN, PBEsol geometry); calculated formation energy = 2.01 eV/atom; symmetry = P4/mmm, No. 123; N(E_F) = 0.932 states/eV/atom; total energy = -177.362 eV per cell; E above lowest polymorph = 28.07 kcal/mol of atoms
1.0
3.7202 0.0000 0.0000
0.0000 3.7202 0.0000
0.0000 0.0000 4.8435
Re Mo K
2 1 1
direct
0.5000 0.0000 0.0000 Re
0.0000 0.5000 0.0000 Re
0.0000 0.0000 0.5000 Mo
0.5000 0.5000 0.5000 K

Entry 9:
KRe2Mo (SCAN, PBEsol geometry); calculated formation energy = 0.79 eV/atom; symmetry = R3m, No. 160; N(E_F) = 0.726 states/eV/atom; total energy = -182.232 eV per cell; E above lowest polymorph = 0.00 kcal/mol of atoms
1.0
-2.3547 -0.9615 -1.1325
-0.1880 -0.3208 -2.7592
2.7468 -10.2919 -0.3954
Mo K Re
1 1 2
direct
0.7359 0.7359 0.7922 Mo
0.5024 0.5024 0.4929 K
0.2641 0.2641 0.2077 Re
0.9976 0.9976 0.0072 Re

Entry 10:
KMo2Rh (SCAN, PBEsol geometry); calculated formation energy = 1.31 eV/atom; symmetry = F-43m, No. 216; N(E_F) = 1.259 states/eV/atom; total energy = -106.614 eV per cell; E above lowest polymorph = 0.00 kcal/mol of atoms
1.0
-0.9657 -3.8555 2.1892
1.8996 -3.9007 -1.3291
3.1503 -1.9880 2.5911
Mo K Rh
2 1 1
direct
0.7500 0.7500 0.7500 Mo
0.0000 0.0000 0.0000 Mo
0.5000 0.5000 0.5000 K
0.2500 0.2500 0.2500 Rh

Entry 11:
KMo2Rh (SCAN, PBEsol geometry); calculated formation energy = 1.52 eV/atom; symmetry = P4/mmm, No. 123; N(E_F) = 1.268 states/eV/atom; total energy = -105.799 eV per cell; E above lowest polymorph = 4.70 kcal/mol of atoms
1.0
-1.9486 2.4478 -2.0542
-2.2543 -2.7582 -1.1484
-2.9769 0.8404 3.8253
Mo Rh K
2 1 1
direct
0.0000 0.5000 0.0000 Mo
0.5000 0.0000 0.0000 Mo
0.5000 0.5000 0.5000 Rh
0.0000 0.0000 0.5000 K

Entry 12:
KMoRh2 (SCAN, PBEsol geometry); calculated formation energy = 0.62 eV/atom; symmetry = Cm, No. 8; N(E_F) = 1.312 states/eV/atom; total energy = -108.263 eV per cell
1.0
-1.8598 -2.0301 0.0042
2.1568 -0.0999 4.3347
-4.5364 4.1590 1.4654
K Mo Rh
1 1 2
direct
0.5076 0.0153 0.5238 K
0.7214 0.4427 0.1211 Mo
0.9927 0.9853 0.0381 Rh
0.2783 0.5567 0.8170 Rh

Entry 13:
KSrMoRh2 (SCAN, PBEsol geometry); calculated formation energy = 1.91 eV/atom; symmetry = P4/mmm, No. 123; N(E_F) = 0.491 states/eV/atom; total energy = -123.459 eV per cell
1.0
-4.8849 0.4504 1.0690
-0.3738 -4.9912 0.3950
1.2154 0.3373 5.4120
Rh Sr K Mo
2 1 1 1
direct
0.5000 0.0000 0.0000 Rh
0.0000 0.5000 0.0000 Rh
0.0000 0.0000 0.0000 Sr
0.5000 0.5000 0.5000 K
0.0000 0.0000 0.5000 Mo

Entry 14:
KMoRu2 (SCAN, PBEsol geometry); calculated formation energy = 0.83 eV/atom; symmetry = Pmm2, No. 25; N(E_F) = 1.058 states/eV/atom; total energy = -109.563 eV per cell
1.0
2.6873 0.0000 0.0000
0.0000 3.6657 0.0000
0.0000 0.0000 8.1814
Mo Ru K
1 2 1
direct
0.5000 0.5000 0.8448 Mo
0.0000 0.0000 0.0179 Ru
0.5000 0.5000 0.1564 Ru
0.0000 0.0000 0.4809 K

Entry 15:
K2MoRu (SCAN, PBEsol geometry); calculated formation energy = 2.15 eV/atom; symmetry = Fm-3m, No. 225; N(E_F) = 1.312 states/eV/atom; total energy = -77.754 eV per cell; E above lowest polymorph = 32.36 kcal/mol of atoms
1.0
5.2490 0.0000 0.0000
2.6245 4.5458 0.0000
2.6245 1.5153 4.2858
K Ru Mo
2 1 1
direct
0.2500 0.2500 0.2500 K
0.7500 0.7500 0.7500 K
0.5000 0.5000 0.5000 Ru
0.0000 0.0000 0.0000 Mo

Entry 16:
K2MoRu (SCAN, PBEsol geometry); calculated formation energy = 0.75 eV/atom; symmetry = C2/m, No. 12; N(E_F) = 0.653 states/eV/atom; total energy = -83.368 eV per cell; E above lowest polymorph = 0.00 kcal/mol of atoms
1.0
-2.1052 2.5766 -0.0252
-2.3102 -1.8676 2.0288
6.5618 3.2861 7.5059
Mo K Ru
1 2 1
direct
0.0000 0.5000 0.0000 Mo
0.8525 0.8630 0.7050 K
0.1475 0.1370 0.2950 K
0.5000 0.0000 0.0000 Ru